TaGaPtCl2 PBE optimized geometry; E = -4.221 eV/atom; SG = P4/mmm
1.0
4.823 0.000 0.000
0.000 4.823 0.000
0.000 0.000 5.223
Ta Ga Pt Cl
1 1 1 2
direct
0.000 0.000 0.000
0.500 0.500 0.000
0.000 0.000 0.500
0.000 0.500 0.500
0.500 0.000 0.500